# Na2AlMoRu, optimized geometry, DFT GGA-PBE
data_Na2AlMoRu
_chemical_formula_sum 'Na2 Al1 Mo1 Ru1'
_cell_length_a 5.296
_cell_length_b 4.907
_cell_length_c 5.296
_cell_angle_alpha 90.00
_cell_angle_beta 90.00
_cell_angle_gamma 90.00
_symmetry_space_group_name_H-M 'P 1'
_symmetry_Int_Tables_number 1
_symmetry_space_group_name_Hall 'P 1'
loop_
_atom_site_label
_atom_site_fract_x
_atom_site_fract_y
_atom_site_fract_z
_atom_site_occupancy
Ru1 0.500 0.500 0.500 1
Al1 0.000 0.500 0.000 1
Na1 0.000 0.000 0.500 1
Mo1 0.000 0.000 0.000 1
Na2 0.500 0.000 0.000 1
# Volume ... 137.64 Å³ per cell
# Raw total energy ... -3.378 eV per atom
# ΔH_f (0 K) ... 1919 meV/atom


# NaZrAlMo2, optimized geometry, DFT GGA-PBE
data_NaZrAlMo2
_chemical_formula_sum 'Na1 Zr1 Al1 Mo2'
_cell_length_a 4.915
_cell_length_b 5.364
_cell_length_c 4.915
_cell_angle_alpha 90.00
_cell_angle_beta 90.00
_cell_angle_gamma 90.00
_symmetry_space_group_name_H-M 'P 1'
_symmetry_Int_Tables_number 1
_symmetry_space_group_name_Hall 'P 1'
loop_
_atom_site_label
_atom_site_fract_x
_atom_site_fract_y
_atom_site_fract_z
_atom_site_occupancy
Na1 0.500 0.500 0.500 1
Mo1 0.500 0.000 0.000 1
Al1 0.000 0.500 0.000 1
Zr1 0.000 0.000 0.000 1
Mo2 0.000 0.000 0.500 1
# Volume ... 129.57 Å³ per cell
# Raw total energy ... -5.514 eV per atom
# ΔH_f (0 K) ... 1540 meV/atom


# NbAlMo2, optimized geometry, DFT GGA-PBE
data_NbAlMo2
_chemical_formula_sum 'Nb2 Al2 Mo4'
_cell_length_a 7.164
_cell_length_b 7.164
_cell_length_c 5.748
_cell_angle_alpha 51.46
_cell_angle_beta 51.46
_cell_angle_gamma 90.00
_symmetry_space_group_name_H-M 'P 1'
_symmetry_Int_Tables_number 1
_symmetry_space_group_name_Hall 'P 1'
loop_
_atom_site_label
_atom_site_fract_x
_atom_site_fract_y
_atom_site_fract_z
_atom_site_occupancy
Mo1 0.621 0.125 0.250 1
Nb1 0.000 0.000 0.000 1
Mo2 0.875 0.871 0.750 1
Mo3 0.129 0.625 0.250 1
Nb2 0.750 0.250 0.500 1
Mo4 0.375 0.379 0.750 1
Al1 0.500 0.500 0.000 1
Al2 0.250 0.750 0.500 1
# Volume ... 139.46 Å³ per cell
# Raw total energy ... -8.225 eV per atom
# ΔH_f (0 K) ... 644 meV/atom


# NbAlMo2, optimized geometry, DFT GGA-PBE
data_NbAlMo2
_chemical_formula_sum 'Nb1 Al1 Mo2'
_cell_length_a 3.362
_cell_length_b 3.362
_cell_length_c 5.768
_cell_angle_alpha 90.00
_cell_angle_beta 90.00
_cell_angle_gamma 90.00
_symmetry_space_group_name_H-M 'P 1'
_symmetry_Int_Tables_number 1
_symmetry_space_group_name_Hall 'P 1'
loop_
_atom_site_label
_atom_site_fract_x
_atom_site_fract_y
_atom_site_fract_z
_atom_site_occupancy
Nb1 0.500 0.500 0.000 1
Al1 0.500 0.500 0.500 1
Mo1 0.000 0.000 0.731 1
Mo2 0.000 0.000 0.269 1
# Volume ... 65.18 Å³ per cell
# Raw total energy ... -8.962 eV per atom
# ΔH_f (0 K) ... -93 meV/atom


# Nb12Al3Mo, optimized geometry, DFT GGA-PBE
data_Nb12Al3Mo
_chemical_formula_sum 'Nb12 Al3 Mo1'
_cell_length_a 5.212
_cell_length_b 5.238
_cell_length_c 10.371
_cell_angle_alpha 90.00
_cell_angle_beta 90.00
_cell_angle_gamma 90.00
_symmetry_space_group_name_H-M 'P 1'
_symmetry_Int_Tables_number 1
_symmetry_space_group_name_Hall 'P 1'
loop_
_atom_site_label
_atom_site_fract_x
_atom_site_fract_y
_atom_site_fract_z
_atom_site_occupancy
Nb1 0.000 0.247 0.250 1
Nb2 0.500 0.000 0.377 1
Nb3 0.000 0.753 0.250 1
Nb4 0.000 0.753 0.750 1
Nb5 0.754 0.500 0.000 1
Nb6 0.247 0.500 0.500 1
Nb7 0.500 0.000 0.874 1
Al1 0.000 0.000 0.000 1
Nb8 0.246 0.500 0.000 1
Mo1 0.000 0.000 0.500 1
Nb9 0.500 0.000 0.623 1
Nb10 0.753 0.500 0.500 1
Al2 0.500 0.500 0.249 1
Nb11 0.000 0.247 0.750 1
Al3 0.500 0.500 0.751 1
Nb12 0.500 0.000 0.126 1
# Volume ... 283.12 Å³ per cell
# Raw total energy ... -9.109 eV per atom
# ΔH_f (0 K) ... -178 meV/atom


# Nb2AlMo8, optimized geometry, DFT GGA-PBE
data_Nb2AlMo8
_chemical_formula_sum 'Nb2 Al1 Mo8'
_cell_length_a 3.129
_cell_length_b 6.422
_cell_length_c 10.021
_cell_angle_alpha 68.19
_cell_angle_beta 84.20
_cell_angle_gamma 87.00
_symmetry_space_group_name_H-M 'P 1'
_symmetry_Int_Tables_number 1
_symmetry_space_group_name_Hall 'P 1'
loop_
_atom_site_label
_atom_site_fract_x
_atom_site_fract_y
_atom_site_fract_z
_atom_site_occupancy
Mo1 0.655 0.687 0.898 1
Nb1 0.275 0.185 0.375 1
Mo2 0.795 0.996 0.225 1
Mo3 0.269 0.667 0.384 1
Al1 0.999 0.000 0.970 1
Nb2 0.724 0.816 0.564 1
Mo4 0.344 0.313 0.041 1
Mo5 0.148 0.465 0.751 1
Mo6 0.851 0.536 0.188 1
Mo7 0.204 0.005 0.714 1
Mo8 0.730 0.334 0.556 1
# Volume ... 185.99 Å³ per cell
# Raw total energy ... -9.819 eV per atom
# ΔH_f (0 K) ... 230 meV/atom


# NbAlMo2, optimized geometry, DFT GGA-PBE
data_NbAlMo2
_chemical_formula_sum 'Nb1 Al1 Mo2'
_cell_length_a 4.243
_cell_length_b 3.914
_cell_length_c 3.914
_cell_angle_alpha 90.00
_cell_angle_beta 90.00
_cell_angle_gamma 90.00
_symmetry_space_group_name_H-M 'P 1'
_symmetry_Int_Tables_number 1
_symmetry_space_group_name_Hall 'P 1'
loop_
_atom_site_label
_atom_site_fract_x
_atom_site_fract_y
_atom_site_fract_z
_atom_site_occupancy
Mo1 0.000 0.000 0.500 1
Mo2 0.000 0.500 0.000 1
Al1 0.500 0.000 0.000 1
Nb1 0.500 0.500 0.500 1
# Volume ... 65.00 Å³ per cell
# Raw total energy ... -8.928 eV per atom
# ΔH_f (0 K) ... -60 meV/atom


# Nb6AlMo, optimized geometry, DFT GGA-PBE
data_Nb6AlMo
_chemical_formula_sum 'Nb6 Al1 Mo1'
_cell_length_a 7.373
_cell_length_b 7.379
_cell_length_c 5.216
_cell_angle_alpha 44.98
_cell_angle_beta 45.03
_cell_angle_gamma 60.03
_symmetry_space_group_name_H-M 'P 1'
_symmetry_Int_Tables_number 1
_symmetry_space_group_name_Hall 'P 1'
loop_
_atom_site_label
_atom_site_fract_x
_atom_site_fract_y
_atom_site_fract_z
_atom_site_occupancy
Nb1 0.000 0.501 0.253 1
Nb2 0.500 0.753 0.747 1
Mo1 0.000 0.000 0.000 1
Nb3 0.000 0.499 0.747 1
Al1 0.500 0.500 0.500 1
Nb4 0.500 0.247 0.253 1
Nb5 0.247 0.000 0.253 1
Nb6 0.753 0.000 0.747 1
# Volume ... 141.92 Å³ per cell
# ΔE to the lowest computed polymorph ... 0.000 eV/atom
# Raw total energy ... -9.508 eV per atom
# ΔH_f (0 K) ... -134 meV/atom